Here is crystalline PmCd2Ru at its relaxed geometry from Alexandria. Energies are from GGA-PBE.

Geometry as POSCAR:
```
PmCd2Ru
1.0
4.951 0.000 0.000
2.476 4.288 0.000
2.476 1.429 4.045
Cd Ru Pm
2 1 1
Direct
0.750 0.750 0.750 Cd
0.250 0.250 0.250 Cd
0.000 0.000 0.000 Ru
0.500 0.500 0.500 Pm
```

Properties
final energy	-3.867	eV per atom
magnetization	0.7	Bohr magnetons per cell
calculated formation energy	97	meV per atom

***

Here is crystalline Sm8Os2Pb at its relaxed geometry from Alexandria. Energies are from GGA-PBE.

Geometry as POSCAR:
```
Sm8Os2Pb
1.0
5.543 0.203 -0.834
-1.735 7.263 -3.005
0.195 -0.027 8.047
Pb Sm Os
1 8 2
Direct
0.000 0.003 0.003 Pb
0.423 0.675 0.939 Sm
0.576 0.331 0.068 Sm
0.423 0.939 0.675 Sm
0.794 0.615 0.615 Sm
0.207 0.392 0.392 Sm
0.000 0.253 0.753 Sm
0.576 0.068 0.331 Sm
0.000 0.753 0.253 Sm
0.500 0.316 0.691 Os
0.500 0.691 0.316 Os
```

Properties
final energy	-5.970	eV per atom
magnetization	0.0	Bohr magnetons per cell
calculated formation energy	-159	meV per atom

***

Here is crystalline Re3AuCl at its relaxed geometry from Alexandria. Energies are from GGA-PBE.

Geometry as POSCAR:
```
Re3AuCl
1.0
-1.248 3.740 -3.383
-4.964 -0.298 1.503
0.888 3.593 3.646
Cl Re Au
1 3 1
Direct
0.500 0.500 0.500 Cl
0.500 0.000 0.000 Re
0.000 0.500 0.000 Re
0.000 0.000 0.500 Re
0.000 0.000 0.000 Au
```

Properties
final energy	-5.448	eV per atom
magnetization	12.7	Bohr magnetons per cell
uncorrected formation energy	3046	meV per atom

***

Here is crystalline Fe3SBr at its relaxed geometry from Alexandria. Energies are from GGA-PBE.

Geometry as POSCAR:
```
Fe3SBr
1.0
4.522 0.000 0.000
0.000 4.522 0.000
0.000 0.000 4.522
S Fe Br
1 3 1
Direct
0.500 0.500 0.500 S
0.000 0.500 0.000 Fe
0.500 0.000 0.000 Fe
0.000 0.000 0.500 Fe
0.000 0.000 0.000 Br
```

Properties
final energy	-5.052	eV per atom
magnetization	9.0	Bohr magnetons per cell
uncorrected formation energy	1186	meV per atom

***

Here is crystalline La5Dy3P8 at its relaxed geometry from Alexandria. Energies are from GGA-PBE.

Geometry as POSCAR:
```
La5Dy3P8
1.0
-1.217 1.371 8.150
-7.763 0.722 2.999
-3.192 -6.032 4.817
P La Dy
8 5 3
Direct
0.760 0.250 0.250 P
0.754 0.754 0.754 P
0.750 0.240 0.750 P
0.250 0.250 0.760 P
0.246 0.246 0.246 P
0.240 0.750 0.750 P
0.750 0.750 0.240 P
0.250 0.760 0.250 P
0.000 0.500 0.500 La
0.500 0.500 0.000 La
0.500 0.500 0.500 La
0.000 0.000 0.000 La
0.500 0.000 0.500 La
0.000 0.000 0.500 Dy
0.000 0.500 0.000 Dy
0.500 0.000 0.000 Dy
```

Properties
final energy	-6.678	eV per atom
magnetization	0.0	Bohr magnetons per cell
calculated formation energy	-1570	meV per atom

***

Here is crystalline Sm2ScSb3 at its relaxed geometry from Alexandria. Energies are from GGA-PBE.

Geometry as POSCAR:
```
Sm2ScSb3
1.0
7.479 -0.029 -1.253
-4.035 6.297 -1.253
-0.018 -0.034 7.569
Sm Sb Sc
4 6 2
Direct
0.333 0.667 0.000 Sm
0.833 0.167 0.500 Sm
0.496 0.504 0.500 Sm
0.171 0.829 0.500 Sm
0.910 0.587 0.762 Sb
0.601 0.934 0.767 Sb
0.413 0.090 0.238 Sb
0.254 0.243 0.762 Sb
0.757 0.746 0.238 Sb
0.066 0.399 0.233 Sb
0.665 0.335 0.000 Sc
0.002 0.998 0.000 Sc
```

Properties
final energy	-5.766	eV per atom
magnetization	0.0	Bohr magnetons per cell
uncorrected formation energy	-1077	meV per atom

***

Here is crystalline AcGa2 at its relaxed geometry from Alexandria. Energies are from GGA-PBE.

Geometry as POSCAR:
```
AcGa2
1.0
4.519 0.000 0.000
0.000 4.519 0.000
-2.260 -2.260 7.701
Ga Ac
4 2
Direct
0.583 0.583 0.167 Ga
0.417 0.417 0.833 Ga
0.167 0.667 0.333 Ga
0.333 0.833 0.667 Ga
0.000 0.000 0.000 Ac
0.750 0.250 0.500 Ac
```

Properties
final energy	-4.008	eV per atom
magnetization	0.0	Bohr magnetons per cell
calculated formation energy	-621	meV per atom

***

Here is crystalline LiDy2Sb at its relaxed geometry from Alexandria. Energies are from GGA-PBE.

Geometry as POSCAR:
```
LiDy2Sb
1.0
4.296 0.000 0.000
2.148 3.720 0.017
2.148 1.211 6.811
Dy Li Sb
2 1 1
Direct
0.906 0.669 0.520 Dy
0.703 0.466 0.128 Dy
0.127 0.890 0.857 Li
0.475 0.238 0.812 Sb
```

Properties
final energy	-4.194	eV per atom
magnetization	0.0	Bohr magnetons per cell
uncorrected formation energy	-384	meV per atom